[1]
{"formula": "Mg14AlCr", "functional": "PBE-GGA", "state": "relaxed", "space_group": "Amm2 (38)", "polymorph_energy_ev_per_atom": 0.0000, "cell": [[10.2450, 0.0000, 0.0000], [0.0000, 3.1251, 5.4286], [0.0000, -3.1251, 5.4286]], "species": ["Mg", "Mg", "Mg", "Mg", "Mg", "Mg", "Mg", "Mg", "Mg", "Mg", "Mg", "Mg", "Mg", "Mg", "Al", "Cr"], "fractional_positions": [[0.0000, 0.0000, 0.0000], [0.0000, 0.0013, 0.5015], [0.0000, 0.4999, 0.4999], [0.0000, 0.5015, 0.0013], [0.2532, 0.1664, 0.1664], [0.2550, 0.6650, 0.6650], [0.2627, 0.1715, 0.6678], [0.2627, 0.6678, 0.1715], [0.5000, 0.4988, 0.9965], [0.5000, 0.9965, 0.4988], [0.7373, 0.1715, 0.6678], [0.7373, 0.6678, 0.1715], [0.7450, 0.6650, 0.6650], [0.7468, 0.1664, 0.1664], [0.5000, 0.0010, 0.0010], [0.5000, 0.5017, 0.5017]]}

[2]
{"formula": "MgAlCr2", "functional": "PBE-GGA", "state": "relaxed", "space_group": "Cm (8)", "energy_ev_per_atom": -5.824, "cell": [[4.3785, -1.2964, 0.0000], [4.3785, 1.2964, 0.0000], [-0.2623, 0.0000, 4.9745]], "species": ["Mg", "Al", "Cr", "Cr"], "fractional_positions": [[0.0000, 0.0000, 0.0000], [0.2494, 0.2494, 0.7363], [0.5140, 0.5140, 0.4853], [0.7499, 0.7499, 0.2744]]}

[3]
{"formula": "MgAlCr2", "functional": "PBE-GGA", "state": "relaxed", "space_group": "Cmm2 (35)", "energy_ev_per_atom": -5.938, "cell": [[1.4919, -2.2524, 0.0000], [1.4919, 2.2524, 0.0000], [0.0000, 0.0000, 8.6597]], "species": ["Mg", "Al", "Cr", "Cr"], "fractional_positions": [[0.0000, 0.0000, 0.0000], [0.5000, 0.5000, 0.2913], [0.0000, 0.0000, 0.5326], [0.5000, 0.5000, 0.7324]]}

[4]
{"formula": "MgAl2Cr", "functional": "PBE-GGA", "state": "relaxed", "space_group": "P4/mmm (123)", "energy_ev_per_atom": -4.684, "cell": [[3.0741, 0.0000, 0.0000], [0.0000, 3.0741, 0.0000], [0.0000, 0.0000, 6.7513]], "species": ["Mg", "Al", "Al", "Cr"], "fractional_positions": [[0.0000, 0.0000, 0.0000], [0.5000, 0.5000, 0.2908], [0.5000, 0.5000, 0.7092], [0.0000, 0.0000, 0.5000]]}

[5]
{"formula": "MgAlCr", "functional": "PBE-GGA", "state": "relaxed", "space_group": "P3m1 (156)", "polymorph_energy_ev_per_atom": 0.0631, "cell": [[4.4926, 0.0000, 0.0000], [-2.2463, 3.8907, 0.0000], [0.0000, 0.0000, 2.8926]], "species": ["Mg", "Al", "Cr"], "fractional_positions": [[0.0000, 0.0000, 0.0000], [0.6667, 0.3333, 0.3060], [0.3333, 0.6667, 0.6222]]}

[6]
{"formula": "MgAl2Cr", "functional": "PBE-GGA", "state": "relaxed", "space_group": "P4mm (99)", "energy_ev_per_atom": -4.469, "cell": [[2.7295, 0.0000, 0.0000], [0.0000, 2.7295, 0.0000], [0.0000, 0.0000, 8.4850]], "species": ["Mg", "Al", "Al", "Cr"], "fractional_positions": [[0.0000, 0.0000, 0.0000], [0.0000, 0.0000, 0.5347], [0.5000, 0.5000, 0.2829], [0.5000, 0.5000, 0.7503]]}

Computed spin magnetization (μB/cell) in order:
3.52 0.00 0.00 1.81 3.21 0.00